# LiIn2Hg, optimized geometry, DFT GGA-PBEsol
# formation energy = -0.1459 eV per atom
# magnetic moment = 0.00 μB/f.u.
# VASP energy = -2.271 eV per atom
data_LiIn2Hg
_chemical_formula_sum 'Li1 In2 Hg1'
_space_group_name_H-M_alt 'P 1 2/m 1'
_space_group_IT_number 10
_space_group_name_Hall '-P 2y'
_cell_length_a 3.226
_cell_length_b 5.025
_cell_length_c 5.574
_cell_angle_alpha 90.00
_cell_angle_beta 91.00
_cell_angle_gamma 90.00
loop_
_atom_site_label
_atom_site_fract_x
_atom_site_fract_y
_atom_site_fract_z
Li1 0.000 0.000 0.000
In1 0.283 0.500 0.757
Hg1 0.500 0.000 0.500


# NaSi2AgSe, optimized geometry, DFT GGA-PBEsol
# formation energy from raw total energies = 2.64 eV per formula unit
# magnetic moment = 0.00 μB/f.u.
# VASP energy = -3.483 eV per atom
data_NaSi2AgSe
_chemical_formula_sum 'Na1 Si2 Ag1 Se1'
_space_group_name_H-M_alt 'P 4/m m m'
_space_group_IT_number 123
_space_group_name_Hall '-P 4 2'
_cell_length_a 4.683
_cell_length_b 4.683
_cell_length_c 5.244
_cell_angle_alpha 90.00
_cell_angle_beta 90.00
_cell_angle_gamma 90.00
loop_
_atom_site_label
_atom_site_fract_x
_atom_site_fract_y
_atom_site_fract_z
Na1 0.000 0.000 0.000
Si1 0.000 0.500 0.500
Ag1 0.000 0.000 0.500
Se1 0.500 0.500 0.000


# FeTc2Os, optimized geometry, DFT GGA-PBEsol
# formation energy = 0.3813 eV per atom
# polymorph energy (0 for the lowest one) = 303 meV per atom
# magnetic moment = 2.52 μB/f.u.
# VASP energy = -10.547 eV per atom
data_FeTc2Os
_chemical_formula_sum 'Fe2 Tc4 Os2'
_space_group_name_H-M_alt 'C m m m'
_space_group_IT_number 65
_space_group_name_Hall '-C 2 2'
_cell_length_a 2.853
_cell_length_b 4.373
_cell_length_c 8.702
_cell_angle_alpha 90.00
_cell_angle_beta 90.00
_cell_angle_gamma 90.00
loop_
_atom_site_label
_atom_site_fract_x
_atom_site_fract_y
_atom_site_fract_z
Fe1 0.000 0.000 0.000
Tc1 0.000 0.500 0.241
Os1 0.000 0.000 0.500


# Y2RhAu, optimized geometry, DFT GGA-PBEsol
# formation energy = -0.8056 eV per atom
# magnetic moment = 0.00 μB/f.u.
# VASP energy = -7.232 eV per atom
data_Y2RhAu
_chemical_formula_sum 'Y2 Rh1 Au1'
_space_group_name_H-M_alt 'P 4/m m m'
_space_group_IT_number 123
_space_group_name_Hall '-P 4 2'
_cell_length_a 4.885
_cell_length_b 4.885
_cell_length_c 3.482
_cell_angle_alpha 90.00
_cell_angle_beta 90.00
_cell_angle_gamma 90.00
loop_
_atom_site_label
_atom_site_fract_x
_atom_site_fract_y
_atom_site_fract_z
Y1 0.000 0.500 0.000
Rh1 0.000 0.000 0.500
Au1 0.500 0.500 0.500


# V3Ga, optimized geometry, DFT GGA-PBEsol
# formation energy = -0.2045 eV per atom
# magnetic moment = 0.01 μB/f.u.
# VASP energy = -8.265 eV per atom
data_V3Ga
_chemical_formula_sum 'V6 Ga2'
_space_group_name_H-M_alt 'P m -3 n'
_space_group_IT_number 223
_space_group_name_Hall '-P 4n 2 3'
_cell_length_a 4.717
_cell_length_b 4.717
_cell_length_c 4.717
_cell_angle_alpha 90.00
_cell_angle_beta 90.00
_cell_angle_gamma 90.00
loop_
_atom_site_label
_atom_site_fract_x
_atom_site_fract_y
_atom_site_fract_z
V1 0.000 0.250 0.500
Ga1 0.000 0.000 0.000


# RuRhW2, optimized geometry, DFT GGA-PBEsol
# formation energy = -0.0687 eV per atom
# polymorph energy (0 for the lowest one) = 5 meV per atom
# magnetic moment = 0.00 μB/f.u.
# VASP energy = -11.550 eV per atom
data_RuRhW2
_chemical_formula_sum 'Ru1 Rh1 W2'
_space_group_name_H-M_alt 'P 4/m m m'
_space_group_IT_number 123
_space_group_name_Hall '-P 4 2'
_cell_length_a 2.750
_cell_length_b 2.750
_cell_length_c 7.665
_cell_angle_alpha 90.00
_cell_angle_beta 90.00
_cell_angle_gamma 90.00
loop_
_atom_site_label
_atom_site_fract_x
_atom_site_fract_y
_atom_site_fract_z
Ru1 0.000 0.000 0.000
Rh1 0.000 0.000 0.500
W1 0.500 0.500 0.247


# K2TaHg, optimized geometry, DFT GGA-PBEsol
# formation energy = 0.6813 eV per atom
# magnetic moment = 0.00 μB/f.u.
# VASP energy = -3.165 eV per atom
data_K2TaHg
_chemical_formula_sum 'K2 Ta1 Hg1'
_space_group_name_H-M_alt 'P m m 2'
_space_group_IT_number 25
_space_group_name_Hall 'P 2 -2'
_cell_length_a 2.958
_cell_length_b 4.443
_cell_length_c 10.298
_cell_angle_alpha 90.00
_cell_angle_beta 90.00
_cell_angle_gamma 90.00
loop_
_atom_site_label
_atom_site_fract_x
_atom_site_fract_y
_atom_site_fract_z
K1 0.000 0.000 0.000
K2 0.500 0.500 0.403
Ta1 0.000 0.000 0.667
Hg1 0.500 0.500 0.759


# Ca2LaSe, optimized geometry, DFT GGA-PBEsol
# formation energy from raw total energies = -2.18 eV per formula unit
# magnetic moment = 0.00 μB/f.u.
# VASP energy = -3.911 eV per atom
data_Ca2LaSe
_chemical_formula_sum 'Ca4 La2 Se2'
_space_group_name_H-M_alt 'I 4/m m m'
_space_group_IT_number 139
_space_group_name_Hall '-I 4 2'
_cell_length_a 4.498
_cell_length_b 4.498
_cell_length_c 11.945
_cell_angle_alpha 90.00
_cell_angle_beta 90.00
_cell_angle_gamma 90.00
loop_
_atom_site_label
_atom_site_fract_x
_atom_site_fract_y
_atom_site_fract_z
Ca1 0.000 0.500 0.250
La1 0.000 0.000 0.000
Se1 0.000 0.000 0.500


# SrSiS2N, optimized geometry, DFT GGA-PBEsol
# formation energy from raw total energies = 5.75 eV per formula unit
# magnetic moment = 2.83 μB/f.u.
# VASP energy = -3.826 eV per atom
data_SrSiS2N
_chemical_formula_sum 'Sr1 Si1 S2 N1'
_space_group_name_H-M_alt 'P 4/m m m'
_space_group_IT_number 123
_space_group_name_Hall '-P 4 2'
_cell_length_a 5.423
_cell_length_b 5.423
_cell_length_c 4.597
_cell_angle_alpha 90.00
_cell_angle_beta 90.00
_cell_angle_gamma 90.00
loop_
_atom_site_label
_atom_site_fract_x
_atom_site_fract_y
_atom_site_fract_z
Sr1 0.000 0.000 0.000
Si1 0.500 0.500 0.500
S1 0.000 0.500 0.000
N1 0.000 0.000 0.500


# NaMoCl3, optimized geometry, DFT GGA-PBEsol
# formation energy from raw total energies = -3.52 eV per formula unit
# magnetic moment = 3.10 μB/f.u.
# VASP energy = -4.542 eV per atom
data_NaMoCl3
_chemical_formula_sum 'Na1 Mo1 Cl3'
_space_group_name_H-M_alt 'P m -3 m'
_space_group_IT_number 221
_space_group_name_Hall '-P 4 2 3'
_cell_length_a 4.907
_cell_length_b 4.907
_cell_length_c 4.907
_cell_angle_alpha 90.00
_cell_angle_beta 90.00
_cell_angle_gamma 90.00
loop_
_atom_site_label
_atom_site_fract_x
_atom_site_fract_y
_atom_site_fract_z
Na1 0.000 0.000 0.000
Mo1 0.500 0.500 0.500
Cl1 0.000 0.500 0.500


# AgAs2Se, optimized geometry, DFT GGA-PBEsol
# formation energy from raw total energies = 1.08 eV per formula unit
# magnetic moment = 0.00 μB/f.u.
# VASP energy = -4.073 eV per atom
data_AgAs2Se
_chemical_formula_sum 'Ag2 As4 Se2'
_space_group_name_H-M_alt 'I m m m'
_space_group_IT_number 71
_space_group_name_Hall '-I 2 2'
_cell_length_a 3.720
_cell_length_b 3.864
_cell_length_c 10.850
_cell_angle_alpha 90.00
_cell_angle_beta 90.00
_cell_angle_gamma 90.00
loop_
_atom_site_label
_atom_site_fract_x
_atom_site_fract_y
_atom_site_fract_z
Ag1 0.000 0.000 0.000
As1 0.000 0.500 0.206
Se1 0.000 0.000 0.500


# TlSnAs3, optimized geometry, DFT GGA-PBEsol
# formation energy = 0.7139 eV per atom
# magnetic moment = 0.00 μB/f.u.
# VASP energy = -3.728 eV per atom
data_TlSnAs3
_chemical_formula_sum 'Tl1 Sn1 As3'
_space_group_name_H-M_alt 'P m -3 m'
_space_group_IT_number 221
_space_group_name_Hall '-P 4 2 3'
_cell_length_a 5.238
_cell_length_b 5.238
_cell_length_c 5.238
_cell_angle_alpha 90.00
_cell_angle_beta 90.00
_cell_angle_gamma 90.00
loop_
_atom_site_label
_atom_site_fract_x
_atom_site_fract_y
_atom_site_fract_z
Tl1 0.000 0.000 0.000
Sn1 0.500 0.500 0.500
As1 0.000 0.500 0.500